Version i
Here is crystalline K2HgGeAu at its relaxed geometry from Alexandria. Energies are from PBE.

Geometry as POSCAR:
```
K2HgGeAu
1.0
6.499 0.000 0.000
0.000 6.499 0.000
0.000 0.000 4.742
K Hg Ge Au
2 1 1 1
direct
0.000 0.500 0.000
0.500 0.000 0.000
0.000 0.000 0.500
0.500 0.500 0.500
0.500 0.500 0.000
```

- Total magnetization: 0.0078 μB per atom
- Theoretical density: 4.5 g cm⁻³
- DOS at the Fermi energy: 3.29 states/eV/cell

=====

Version ii
Here is crystalline K2HgGeAu at its relaxed geometry from Alexandria. Energies are from PBE.

Geometry as POSCAR:
```
K2HgGeAu
1.0
6.264 0.000 0.000
0.000 6.264 0.000
0.000 0.000 5.387
K Hg Ge Au
2 1 1 1
direct
0.000 0.500 0.000
0.500 0.000 0.000
0.000 0.000 0.500
0.500 0.500 0.500
0.000 0.000 0.000
```

- Total magnetization: 0.5064 μB per atom
- Theoretical density: 4.3 g cm⁻³
- DOS at the Fermi energy: 2.22 states/eV/cell

=====

Top of the stability list: version i, leading by 326 meV per atom.

=====

Version i
Here is crystalline HoGe2Au at its relaxed geometry from Alexandria. Energies are from PBE.

Geometry as POSCAR:
```
HoGe2Au
1.0
4.396 0.000 0.000
0.000 4.396 0.000
0.000 0.000 4.112
Ho Ge Au
1 2 1
direct
0.000 0.000 0.000
0.000 0.500 0.500
0.500 0.000 0.500
0.500 0.500 0.000
```

- Total magnetization: 0.0000 μB per atom
- Theoretical density: 10.6 g cm⁻³
- DOS at the Fermi energy: 1.54 states/eV/cell

=====

Version ii
Here is crystalline HoGe2Au at its relaxed geometry from Alexandria. Energies are from PBE.

Geometry as POSCAR:
```
HoGe2Au
1.0
5.130 0.000 0.000
-2.565 4.442 0.000
0.000 0.000 10.904
Ho Ge Au
3 6 3
direct
0.000 0.000 0.000
0.333 0.667 0.667
0.667 0.333 0.333
0.000 0.000 0.262
0.000 0.000 0.738
0.333 0.667 0.405
0.333 0.667 0.929
0.667 0.333 0.071
0.667 0.333 0.595
0.000 0.000 0.500
0.333 0.667 0.167
0.667 0.333 0.833
```

- Total magnetization: 0.0000 μB per atom
- Theoretical density: 10.2 g cm⁻³
- DOS at the Fermi energy: 5.94 states/eV/cell

=====

Top of the stability list: version i, leading by 210 meV per atom.